A relaxed structure of AlC6, computed with PBE.

Cell: 5.3572 5.3572 5.3572 Å, 90.00 90.00 90.00°
Fractional positions:
Al (0.0000, 0.0000, 0.0000)
C (0.0000, 0.0000, 0.3802)
C (0.0000, 0.0000, 0.6198)
C (0.0000, 0.3802, 0.0000)
C (0.0000, 0.6198, 0.0000)
C (0.3802, 0.0000, 0.0000)
C (0.6198, 0.0000, 0.0000)

crystal system	cubic
density of states at the Fermi level	0.3689	states/eV/atom
energy of formation from the pure elements	1979	meV per atom